{"formula": "ScTaCo4", "functional": "PBEsol", "state": "optimized geometry", "e_tot_ev_per_atom": -8.63, "delta_e_f_ev_per_atom": -0.28, "total_magnetization_mub_per_cell": 0.00, "lattice": [[4.7186, 0.0000, 0.0000], [2.3593, 4.0865, 0.0000], [2.3593, 1.3622, 3.8528]], "species": ["Co", "Ta", "Co", "Co", "Co", "Sc"], "frac_coords": [[0.3755, 0.3755, 0.8734], [0.0000, 0.0000, 0.0000], [0.8734, 0.3755, 0.3755], [0.3755, 0.3755, 0.3755], [0.3755, 0.8734, 0.3755], [0.7500, 0.7500, 0.7500]]}

***

{"formula": "CrCd2Se", "functional": "PBEsol", "state": "optimized geometry", "e_tot_ev_per_atom": -4.03, "total_magnetization_mub_per_cell": 3.80, "lattice": [[3.3109, 0.0000, 0.0000], [0.0000, 3.7928, 0.0000], [-1.6554, -1.8964, 6.5061]], "species": ["Se", "Cd", "Cr", "Cd"], "frac_coords": [[0.0000, 0.5000, 0.0000], [0.8088, 0.8088, 0.6175], [0.5000, 0.0000, 0.0000], [0.1912, 0.1912, 0.3825]]}